Below is a relaxed NaTbPr2 crystal, with properties calculated at the GGA-PBE level.

Unit cell a=3.5778 b=3.5778 c=11.0208 alpha=90.00 beta=90.00 gamma=90.00
Space group P4/mmm (No. 123)
Asymmetric unit:
1 Na 0.0000 0.0000 0.0000 [1 per cell]
2 Tb 0.0000 0.0000 0.5000 [1 per cell]
3 Pr 0.5000 0.5000 0.2671 [2 per cell]

Computed properties:
Formation enthalpy at 0 K, eV per atom: 0.089
Polymorph energy (0 for the lowest one), kJ per mole of atoms: 0.0
Crystal system: tetragonal
V, Å³/f.u.: 141.1



Below is a relaxed Li2SmTlAu2 crystal, with properties calculated at the GGA-PBE level.

Unit cell a=4.6331 b=4.6331 c=6.6536 alpha=90.00 beta=90.00 gamma=120.00
Space group P-3m1 (No. 164)
Asymmetric unit:
1 Li 0.3333 0.6667 0.1693 [2 per cell]
2 Sm 0.0000 0.0000 0.5000 [1 per cell]
3 Tl 0.0000 0.0000 0.0000 [1 per cell]
4 Au 0.3333 0.6667 0.7442 [2 per cell]

Computed properties:
Formation enthalpy at 0 K, eV per atom: -0.517
Crystal system: trigonal
V, Å³/f.u.: 123.7



Below is a relaxed HoTm3S4 crystal, with properties calculated at the GGA-PBE level.

Unit cell a=7.7656 b=10.8999 c=3.8182 alpha=90.00 beta=90.00 gamma=90.00
Space group Cmmm (No. 65)
Asymmetric unit:
1 Ho 0.0000 0.0000 0.0000 [2 per cell]
2 Tm 0.0000 0.5000 0.0000 [2 per cell]
3 Tm 0.2500 0.2500 0.5000 [4 per cell]
4 S 0.0000 0.2514 0.0000 [4 per cell]
5 S 0.2472 0.5000 0.5000 [4 per cell]

Computed properties:
Polymorph energy (0 for the lowest one), kJ per mole of atoms: 0.0
Crystal system: orthorhombic
V, Å³/f.u.: 161.6
Uncorrected formation energy, meV per atom: -1938



Below is a relaxed ScIr5 crystal, with properties calculated at the GGA-PBE level.

Unit cell a=10.0544 b=2.7901 c=6.6694 alpha=90.00 beta=104.52 gamma=90.00
Space group Cm (No. 8)
Asymmetric unit:
1 Sc 0.0000 0.0000 0.0000 [2 per cell]
2 Ir 0.1162 0.5000 0.7172 [2 per cell]
3 Ir 0.1703 0.5000 0.3289 [2 per cell]
4 Ir 0.2741 0.0000 0.0473 [2 per cell]
5 Ir 0.3374 0.0000 0.6662 [2 per cell]
6 Ir 0.4482 0.5000 0.3933 [2 per cell]

Computed properties:
Formation enthalpy at 0 K, eV per atom: -0.304
Crystal system: monoclinic
V, Å³/f.u.: 90.6



Below is a relaxed CuSbPd2Br crystal, with properties calculated at the GGA-PBE level.

Unit cell a=5.0963 b=5.0963 c=4.8264 alpha=90.00 beta=90.00 gamma=90.00
Space group P4/mmm (No. 123)
Asymmetric unit:
1 Cu 0.0000 0.0000 0.0000 [1 per cell]
2 Sb 0.0000 0.0000 0.5000 [1 per cell]
3 Pd 0.0000 0.5000 0.5000 [2 per cell]
4 Br 0.5000 0.5000 0.0000 [1 per cell]

Computed properties:
Crystal system: tetragonal
V, Å³/f.u.: 125.4
Uncorrected formation energy, meV per atom: 468



Below is a relaxed PrMgPt crystal, with properties calculated at the GGA-PBE level.

Unit cell a=13.6885 b=4.1047 c=7.6340 alpha=90.00 beta=90.00 gamma=90.00
Space group Pmma (No. 51)
Asymmetric unit:
1 Pr 0.0448 0.0000 0.2313 [4 per cell]
2 Pr 0.2500 0.0000 0.8560 [2 per cell]
3 Mg 0.1312 0.5000 0.5681 [4 per cell]
4 Mg 0.2500 0.5000 0.2069 [2 per cell]
5 Pt 0.0986 0.5000 0.9397 [4 per cell]
6 Pt 0.2500 0.0000 0.4432 [2 per cell]

Computed properties:
Formation enthalpy at 0 K, eV per atom: -0.844
Crystal system: orthorhombic
V, Å³/f.u.: 71.5



Below is a relaxed RbSr2SbS4 crystal, with properties calculated at the GGA-PBE level.

Unit cell a=8.5588 b=8.6392 c=12.0540 alpha=90.00 beta=90.00 gamma=90.00
Space group Imma (No. 74)
Asymmetric unit:
1 Rb 0.2500 0.2500 0.2500 [4 per cell]
2 Sr 0.0000 0.0000 0.0000 [4 per cell]
3 Sr 0.2500 0.2500 0.7500 [4 per cell]
4 Sb 0.0000 0.0000 0.5000 [4 per cell]
5 S 0.0000 0.0186 0.7352 [8 per cell]
6 S 0.2354 0.2500 0.5070 [8 per cell]

Computed properties:
Crystal system: orthorhombic
V, Å³/f.u.: 222.8
Uncorrected formation energy, meV per atom: -1267



Below is a relaxed La2Tb6Er3Tm crystal, with properties calculated at the GGA-PBE level.

Unit cell a=6.1900 b=10.7215 c=11.8491 alpha=90.00 beta=100.02 gamma=90.00
Space group C2/m (No. 12)
Asymmetric unit:
1 La 0.0000 0.1665 0.0000 [4 per cell]
2 Tb 0.2464 0.5000 0.7449 [4 per cell]
3 Tb 0.2490 0.1658 0.7451 [8 per cell]
4 Er 0.0000 0.0000 0.5000 [2 per cell]
5 Er 0.0000 0.3337 0.5000 [4 per cell]
6 Tm 0.0000 0.5000 0.0000 [2 per cell]

Computed properties:
Formation enthalpy at 0 K, eV per atom: 0.023
Crystal system: monoclinic
V, Å³/f.u.: 387.2



Below is a relaxed BeZnSb2I crystal, with properties calculated at the GGA-PBE level.

Unit cell a=5.2128 b=5.2128 c=5.6252 alpha=90.00 beta=90.00 gamma=90.00
Space group P4/mmm (No. 123)
Asymmetric unit:
1 Be 0.0000 0.0000 0.0000 [1 per cell]
2 Zn 0.5000 0.5000 0.5000 [1 per cell]
3 Sb 0.0000 0.5000 0.5000 [2 per cell]
4 I 0.5000 0.5000 0.0000 [1 per cell]

Computed properties:
Polymorph energy (0 for the lowest one), kJ per mole of atoms: 42.6
Crystal system: tetragonal
V, Å³/f.u.: 152.9
Uncorrected formation energy, meV per atom: 1002



Below is a relaxed La3Y2In2 crystal, with properties calculated at the GGA-PBE level.

Unit cell a=5.0991 b=23.9135 c=3.6267 alpha=90.00 beta=90.00 gamma=90.00
Space group Cmmm (No. 65)
Asymmetric unit:
1 La 0.0000 0.0000 0.0000 [2 per cell]
2 La 0.0000 0.1407 0.0000 [4 per cell]
3 Y 0.0000 0.2877 0.5000 [4 per cell]
4 In 0.0000 0.4293 0.5000 [4 per cell]

Computed properties:
Formation enthalpy at 0 K, eV per atom: -0.177
Crystal system: orthorhombic
V, Å³/f.u.: 221.1



Below is a relaxed Re2PRuAu crystal, with properties calculated at the GGA-PBE level.

Unit cell a=4.9669 b=4.9669 c=4.3369 alpha=90.00 beta=90.00 gamma=90.00
Space group P4/mmm (No. 123)
Asymmetric unit:
1 Re 0.0000 0.5000 0.0000 [2 per cell]
2 P 0.0000 0.0000 0.5000 [1 per cell]
3 Ru 0.5000 0.5000 0.5000 [1 per cell]
4 Au 0.0000 0.0000 0.0000 [1 per cell]

Computed properties:
Formation enthalpy at 0 K, eV per atom: 2.803
Crystal system: tetragonal
V, Å³/f.u.: 107.0



Below is a relaxed Ba3Ac2ErTe6 crystal, with properties calculated at the GGA-PBE level.

Unit cell a=8.2278 b=14.2287 c=8.3795 alpha=90.00 beta=109.15 gamma=90.00
Space group C2/m (No. 12)
Asymmetric unit:
1 Ba 0.0000 0.0000 0.0000 [2 per cell]
2 Ba 0.0000 0.3271 0.0000 [4 per cell]
3 Ac 0.0000 0.1652 0.5000 [4 per cell]
4 Er 0.0000 0.5000 0.5000 [2 per cell]
5 Te 0.2323 0.3422 0.7255 [8 per cell]
6 Te 0.2371 0.5000 0.2688 [4 per cell]

Computed properties:
Crystal system: monoclinic
V, Å³/f.u.: 463.3
Uncorrected formation energy, meV per atom: -1574